# 1
A plane-wave DFT calculation with PBEsol was carried out for an optimized crystal structure of YBiO2.

a = 3.4803 Å, b = 3.4803 Å, c = 20.5782 Å
α = 90.00°, β = 90.00°, γ = 120.00°
Space group R-3m (No. 166, hexagonal axes)
Asymmetric unit:
Y (0.0000, 0.0000, 0.0000) (multiplicity 3)
Bi (0.0000, 0.0000, 0.5000) (multiplicity 3)
O (0.0000, 0.0000, 0.3848) (multiplicity 6)

The value obtained for the formation energy (no corrections) is -9.8 eV/f.u. The crystal system is trigonal.

# 2
A plane-wave DFT calculation with PBEsol was carried out for an optimized crystal structure of AlSb2TeW.

a = 5.2063 Å, b = 5.2063 Å, c = 5.3090 Å
α = 90.00°, β = 90.00°, γ = 90.00°
Space group P4/mmm (No. 123)
Asymmetric unit:
Al (0.0000, 0.0000, 0.0000) (multiplicity 1)
Sb (0.0000, 0.5000, 0.5000) (multiplicity 2)
Te (0.5000, 0.5000, 0.0000) (multiplicity 1)
W (0.5000, 0.5000, 0.5000) (multiplicity 1)

The value obtained for the formation energy (no corrections) is 3.9 eV/f.u. The crystal system is tetragonal.

# 3
A plane-wave DFT calculation with PBEsol was carried out for an optimized crystal structure of YRe2.

a = 7.5870 Å, b = 7.5870 Å, c = 7.5870 Å
α = 90.00°, β = 90.00°, γ = 90.00°
Space group Fd-3m (No. 227, origin choice 2)
Asymmetric unit:
Y (0.1250, 0.1250, 0.1250) (multiplicity 8)
Re (0.0000, 0.0000, 0.5000) (multiplicity 16)

For the formation energy, the calculation gives -0.18 eV/atom. The crystal system is cubic.

# 4
A plane-wave DFT calculation with PBEsol was carried out for an optimized crystal structure of MgTlRe.

a = 4.7824 Å, b = 4.7824 Å, c = 2.8030 Å
α = 90.00°, β = 90.00°, γ = 120.00°
Space group P-6m2 (No. 187)
Asymmetric unit:
Mg (0.0000, 0.0000, 0.0000) (multiplicity 1)
Tl (0.6667, 0.3333, 0.5000) (multiplicity 1)
Re (0.3333, 0.6667, 0.5000) (multiplicity 1)

For the formation energy, the calculation gives 0.69 eV/atom. The crystal system is hexagonal.

# 5
A plane-wave DFT calculation with PBEsol was carried out for an optimized crystal structure of As2OsPt.

a = 2.9709 Å, b = 2.9709 Å, c = 7.6977 Å
α = 90.00°, β = 90.00°, γ = 90.00°
Space group P4mm (No. 99)
Asymmetric unit:
As (0.0000, 0.0000, 0.0000) (multiplicity 1)
As (0.5000, 0.5000, 0.3714) (multiplicity 1)
Os (0.0000, 0.0000, 0.5535) (multiplicity 1)
Pt (0.5000, 0.5000, 0.8071) (multiplicity 1)

For the formation energy, the calculation gives 0.10 eV/atom. The crystal system is tetragonal.

# 6
A plane-wave DFT calculation with PBEsol was carried out for an optimized crystal structure of Li2MgCdP2.

a = 4.2470 Å, b = 4.2470 Å, c = 5.9910 Å
α = 90.00°, β = 90.00°, γ = 90.00°
Space group P-4m2 (No. 115)
Asymmetric unit:
Li (0.0000, 0.0000, 0.0000) (multiplicity 1)
Li (0.5000, 0.5000, 0.5000) (multiplicity 1)
Mg (0.0000, 0.0000, 0.5000) (multiplicity 1)
Cd (0.5000, 0.5000, 0.0000) (multiplicity 1)
P (0.0000, 0.5000, 0.7433) (multiplicity 2)

For the formation energy, the calculation gives -0.60 eV/atom. The crystal system is tetragonal.

Which energy belongs to each record? In order, -7.846, -5.327, -11.345, -5.201, -7.251, -3.676 eV per atom.
Which magnetization belongs to each record? In order, 0.0, 0.0, 0.0, 0.0, 0.0, 0.0 μB/cell.